(1)
Material: NiPt2
Method: DFT, meta-GGA SCAN
State: PBEsol geometry

Lattice parameters (Å, degrees): 2.7053 2.7053 6.4876 90.00 90.00 120.00
Space group P-3m1 (No. 164)
Unique sites:
Ni (0.0000, 0.0000, 0.0000) (multiplicity 1)
Pt (0.3333, 0.6667, 0.6831) (multiplicity 2)

## Properties
- E_tot: -3.84885 Ry/atom
- Total moment: 1.76 μB/f.u.
- Formation energy from the elements: -0.5 eV per formula unit
- D(E_F): 1.43 states/eV/f.u.

***

(2)
Material: NiPt
Method: DFT, meta-GGA SCAN
State: PBEsol geometry

Lattice parameters (Å, degrees): 3.689 3.689 7.557 90.00 90.00 90.00
Space group I4_1/amd (No. 141, origin choice 2)
Unique sites:
Ni (0.000, 0.250, 0.375) (multiplicity 4)
Pt (0.000, 0.250, 0.875) (multiplicity 4)

## Properties
- E_tot: -3.18228 Ry/atom
- Total moment: 1.31 μB/f.u.
- Formation energy from the elements: -0.2 eV per formula unit
- D(E_F): 1.86 states/eV/f.u.

***

(3)
Material: NiPt3
Method: DFT, meta-GGA SCAN
State: PBEsol geometry

Lattice parameters (Å, degrees): 2.707 4.493 4.645 90.00 90.00 90.00
Space group Pmm2 (No. 25)
Unique sites:
Ni (0.000, 0.000, 0.000) (multiplicity 1)
Pt (0.000, 0.500, 0.330) (multiplicity 1)
Pt (0.500, 0.000, 0.500) (multiplicity 1)
Pt (0.500, 0.500, 0.837) (multiplicity 1)

## Properties
- E_tot: -4.16823 Ry/atom
- Total moment: 1.92 μB/f.u.
- Formation energy from the elements: -0.1 eV per formula unit
- D(E_F): 4.26 states/eV/f.u.

***

(4)
Material: NiPt2
Method: DFT, meta-GGA SCAN
State: PBEsol geometry

Lattice parameters (Å, degrees): 9.961 2.700 6.377 90.00 105.65 90.00
Space group Cm (No. 8)
Unique sites:
Ni (0.000, 0.000, 0.000) (multiplicity 2)
Ni (0.165, 0.500, 0.319) (multiplicity 2)
Pt (0.058, 0.000, 0.592) (multiplicity 2)
Pt (0.211, 0.500, 0.942) (multiplicity 2)
Pt (0.336, 0.000, 0.664) (multiplicity 2)
Pt (0.389, 0.000, 0.260) (multiplicity 2)

## Properties
- E_tot: -3.83967 Ry/atom
- Total moment: 1.53 μB/f.u.
- Formation energy from the elements: -0.2 eV per formula unit
- D(E_F): 2.02 states/eV/f.u.

***

(5)
Material: Ni5Pt4
Method: DFT, meta-GGA SCAN
State: PBEsol geometry

Lattice parameters (Å, degrees): 7.806 7.806 3.713 90.00 90.00 90.00
Space group I4/mmm (No. 139)
Unique sites:
Ni (0.000, 0.000, 0.000) (multiplicity 2)
Ni (0.162, 0.162, 0.500) (multiplicity 8)
Pt (0.000, 0.320, 0.000) (multiplicity 8)

## Properties
- E_tot: -2.96212 Ry/atom
- Total moment: 6.01 μB/f.u.
- Formation energy from the elements: -1.1 eV per formula unit
- D(E_F): 10.24 states/eV/f.u.

***

(6)
Material: NiPt
Method: DFT, meta-GGA SCAN
State: PBEsol geometry

Lattice parameters (Å, degrees): 2.676 2.676 3.580 90.00 90.00 90.00
Space group P4/mmm (No. 123)
Unique sites:
Ni (0.000, 0.000, 0.000) (multiplicity 1)
Pt (0.500, 0.500, 0.500) (multiplicity 1)

## Properties
- E_tot: -3.18591 Ry/atom
- Total moment: 1.32 μB/f.u.
- Formation energy from the elements: -0.3 eV per formula unit
- D(E_F): 2.00 states/eV/f.u.